# 1
Below is a geometry-optimized Mg2ZrHg structure, with properties calculated at the PBE-GGA level.

abc: 4.6712 3.1088 6.2223
angles: 75.50 90.00 90.00
Last column: nearest neighbours and their distance in Å.
Fractional coordinates of all 4 atoms:
Mg 0.0000 0.8070 0.0095  2 Hg 2.86, 1 Zr 3.10, 6 Mg 3.11
Mg 0.5000 0.1963 0.2324  3 Hg 3.03-3.38, 6 Mg 3.11, 4 Zr 3.31
Hg 0.5000 0.9458 0.7347  3 Mg 2.86-3.03, 4 Zr 3.08, 2 Hg 3.11
Zr 0.0000 0.5508 0.5234  4 Hg 3.08, 7 Mg 3.10-3.32, 2 Zr 3.11



# 2
Below is a geometry-optimized Dy6C2Se3Cl structure, with properties calculated at the PBE-GGA level.

Uncorrected formation energy: -1.33 eV/atom

abc: 3.8120 8.0119 8.7759
angles: 103.18 102.54 90.00
Last column: nearest neighbours and their distance in Å.
Fractional coordinates of all 12 atoms:
Se 0.8434 0.1623 0.6868  6 Dy 2.82-3.04
Cl 0.5000 0.0000 0.0000  6 Dy 2.85-2.96
Dy 0.6775 0.5590 0.3550  3 C 2.55-2.60
C 0.8299 0.6653 0.6599  6 Dy 2.41-2.60
Dy 0.3225 0.4410 0.6450  3 C 2.55-2.60
Se 0.5000 0.5000 0.0000  6 Dy 2.75-2.97
Se 0.1566 0.8377 0.3132  6 Dy 2.82-3.04
Dy 0.3235 0.8643 0.6470  2 C 2.50
Dy 0.0254 0.2711 0.0509  1 C 2.41
C 0.1701 0.3347 0.3401  6 Dy 2.41-2.60
Dy 0.6765 0.1357 0.3530  2 C 2.50
Dy 0.9746 0.7289 0.9491  1 C 2.41



# 3
Below is a geometry-optimized KCuAgS structure, with properties calculated at the PBE-GGA level.

Uncorrected formation energy: -0.38 eV/atom

abc: 3.9060 3.9060 12.1657
angles: 90.00 90.00 90.00
Last column: nearest neighbours and their distance in Å.
Fractional coordinates of all 8 atoms:
Ag 0.7500 0.2500 0.5000  4 Ag 2.76
K 0.2500 0.2500 0.7568  4 S 3.19, 4 Cu 3.55
S 0.7500 0.7500 0.8876  4 Cu 2.38
S 0.2500 0.2500 0.1124  4 Cu 2.38
K 0.7500 0.7500 0.2432  4 S 3.19, 4 Cu 3.55
Ag 0.2500 0.7500 0.5000  4 Ag 2.76
Cu 0.2500 0.7500 0.0000  4 S 2.38
Cu 0.7500 0.2500 0.0000  4 S 2.38



# 4
Below is a geometry-optimized Tb2SmHoS4 structure, with properties calculated at the PBE-GGA level.

Uncorrected formation energy: -2.00 eV/atom

abc: 3.9028 6.8230 6.8596
angles: 70.95 90.00 90.00
Last column: nearest neighbours and their distance in Å.
Fractional coordinates of all 8 atoms:
S 0.0000 0.7537 0.7433  3 Tb 2.75-2.80, 1 Ho 2.77, 2 Sm 2.81
Ho 0.0000 0.5000 0.5000  6 S 2.77
S 0.0000 0.2463 0.2566  3 Tb 2.75-2.80, 1 Ho 2.77, 2 Sm 2.81
Sm 0.5000 0.5000 0.0000  6 S 2.81
S 0.5000 0.2505 0.7445  3 Tb 2.76-2.80, 2 Ho 2.77, 1 Sm 2.81
S 0.5000 0.7495 0.2555  3 Tb 2.76-2.80, 2 Ho 2.77, 1 Sm 2.81
Tb 0.0000 0.0000 0.0000  6 S 2.80
Tb 0.5000 0.0000 0.5000  6 S 2.75-2.76



# 5
Below is a geometry-optimized RuPt2N structure, with properties calculated at the PBE-GGA level.

Uncorrected formation energy: 1.04 eV/atom

abc: 4.8442 4.8442 6.7902
angles: 69.10 69.10 90.00
Last column: nearest neighbours and their distance in Å.
Fractional coordinates of all 8 atoms:
Pt 0.5131 0.1250 0.2500  2 N 2.02
Pt 0.3750 0.4869 0.7500  2 N 2.02
Pt 0.2369 0.6250 0.2500  2 N 2.02
Pt 0.8750 0.7631 0.7500  2 N 2.02
Ru 0.0000 0.0000 0.0000  4 Pt 2.59
N 0.2500 0.7500 0.5000  4 Pt 2.02
N 0.5000 0.5000 0.0000  4 Pt 2.02
Ru 0.7500 0.2500 0.5000  4 Pt 2.59



# 6
Below is a geometry-optimized Ac3Y3ScTe8 structure, with properties calculated at the PBE-GGA level.

Uncorrected formation energy: -1.40 eV/atom

abc: 8.9120 8.9121 9.1493
angles: 119.15 90.00 120.00
Last column: nearest neighbours and their distance in Å.
Fractional coordinates of all 15 atoms:
Te 0.7416 0.4832 0.7247  3 Y 3.08, 3 Ac 3.31
Te 0.2399 0.9839 0.7238  1 Sc 3.06, 2 Y 3.09, 2 Ac 3.31
Ac 0.0000 0.0000 0.0000  6 Te 3.31
Te 0.2560 0.0161 0.2762  1 Sc 3.06, 2 Y 3.09, 2 Ac 3.31
Ac 0.0000 0.5000 0.0000  6 Te 3.31
Te 0.2399 0.4798 0.7238  1 Sc 3.06, 2 Y 3.09, 2 Ac 3.31
Te 0.7440 0.9839 0.7238  1 Sc 3.06, 2 Y 3.09, 2 Ac 3.31
Ac 0.5000 0.5000 0.0000  6 Te 3.31
Te 0.2584 0.5168 0.2753  3 Y 3.08, 3 Ac 3.31
Y 0.5000 0.5000 0.5000  6 Te 3.08-3.09
Te 0.7601 0.5202 0.2762  1 Sc 3.06, 2 Y 3.09, 2 Ac 3.31
Y 0.5000 0.0000 0.5000  6 Te 3.08-3.09
Te 0.7601 0.0161 0.2762  1 Sc 3.06, 2 Y 3.09, 2 Ac 3.31
Sc 0.0000 0.0000 0.5000  6 Te 3.06
Y 0.0000 0.5000 0.5000  6 Te 3.08-3.09



# 7
Below is a geometry-optimized CdPd6Pt structure, with properties calculated at the PBE-GGA level.

E above lowest polymorph: 0.00 eV per formula unit

abc: 4.0088 4.8625 7.4532
angles: 78.25 74.40 65.66
Last column: nearest neighbours and their distance in Å.
Fractional coordinates of all 8 atoms:
Pt 0.0000 0.0000 0.0000  12 Pd 2.77-2.82
Pd 0.2481 0.8744 0.6295  1 Pt 2.77, 8 Pd 2.79-2.88, 3 Cd 2.82-2.83
Pd 0.7484 0.6244 0.8787  8 Pd 2.77-2.83, 3 Pt 2.80-2.81, 1 Cd 2.83
Pd 0.4985 0.7559 0.2472  8 Pd 2.77-2.85, 2 Pt 2.82, 2 Cd 2.86
Pd 0.2516 0.3756 0.1213  8 Pd 2.77-2.83, 3 Pt 2.80-2.81, 1 Cd 2.83
Pd 0.7519 0.1256 0.3705  1 Pt 2.77, 8 Pd 2.79-2.88, 3 Cd 2.82-2.83
Pd 0.5015 0.2441 0.7528  8 Pd 2.77-2.85, 2 Pt 2.82, 2 Cd 2.86
Cd 0.0000 0.5000 0.5000  12 Pd 2.82-2.86



# 8
Below is a geometry-optimized Nd15Er2Mg2 structure, with properties calculated at the PBE-GGA level.

abc: 8.8198 8.8198 8.8198
angles: 79.72 79.72 79.72
Last column: nearest neighbours and their distance in Å.
Fractional coordinates of all 19 atoms:
Nd 0.6287 0.1581 0.6287  6 Nd 3.23-3.40
Nd 0.8419 0.3713 0.3713  6 Nd 3.23-3.40
Nd 0.7033 0.2967 0.0000  6 Nd 3.35-3.43, 2 Mg 3.74
Nd 0.7033 0.0000 0.2967  6 Nd 3.35-3.43, 2 Mg 3.74
Nd 0.3713 0.8419 0.3713  6 Nd 3.23-3.40
Nd 0.0000 0.0000 0.5000  8 Nd 3.40-3.43, 2 Mg 3.52
Nd 0.0000 0.5000 0.0000  8 Nd 3.40-3.43, 2 Mg 3.52
Mg 0.0925 0.0925 0.0925  1 Mg 3.29, 3 Nd 3.52
Er 0.6863 0.6863 0.6863  1 Mg 3.94, 15 Nd 4.01-4.18
Nd 0.2967 0.7033 0.0000  6 Nd 3.35-3.43, 2 Mg 3.74
Nd 0.6287 0.6287 0.1581  6 Nd 3.23-3.40
Mg 0.9075 0.9075 0.9075  1 Mg 3.29, 3 Nd 3.52
Nd 0.2967 0.0000 0.7033  6 Nd 3.35-3.43, 2 Mg 3.74
Nd 0.1581 0.6287 0.6287  6 Nd 3.23-3.40
Nd 0.0000 0.7033 0.2967  6 Nd 3.35-3.43, 2 Mg 3.74
Nd 0.3713 0.3713 0.8419  6 Nd 3.23-3.40
Er 0.3137 0.3137 0.3137  1 Mg 3.94, 15 Nd 4.01-4.18
Nd 0.0000 0.2967 0.7033  6 Nd 3.35-3.43, 2 Mg 3.74
Nd 0.5000 0.0000 0.0000  8 Nd 3.40-3.43, 2 Mg 3.52



Results for electronic total energy: -3.09; -6.19; -3.42; -6.38; -6.38; -5.61; -4.90; -4.18 (in eV/atom, following the order of the records).
Results for volume: 21.9; 21.2; 23.2; 21.6; 17.2; 34.7; 15.8; 34.6 (in Å³/atom, following the order of the records).